Below is a relaxed structure of AsP, with properties calculated at the PBE level.

- Space-group type: No. 12
- DOS(E_F): 0.54 states/eV/cell
- Total energy: -4.88 eV/atom
- Distance to the lowest polymorph of the same formula: 0.19 eV per formula unit

extended XYZ file:
```
4
Lattice="6.146 -0.070 -0.016 5.403 4.204 0.001 1.067 0.171 3.436" Properties=species:S:1:pos:R:3 pbc="T T T"
As 6.588 3.840 3.427
As 9.468 3.052 2.573
P 5.474 2.262 1.964
P 4.111 0.254 0.599
```

Below is a relaxed structure of AsP, with properties calculated at the PBE level.

- Space-group type: No. 198
- Total energy: -4.93 eV/atom
- Distance to the lowest polymorph of the same formula: 0.10 eV per formula unit

extended XYZ file:
```
8
Lattice="5.616 0.000 0.000 0.000 5.616 0.000 0.000 0.000 5.616" Properties=species:S:1:pos:R:3 pbc="T T T"
As 3.017 3.017 2.599
As 5.407 2.599 5.407
As 2.599 0.209 0.209
As 0.209 5.407 3.017
P 0.248 0.248 5.367
P 2.560 5.367 2.560
P 5.367 3.056 3.056
P 3.056 2.560 0.248
```

Below is a relaxed structure of AsP, with properties calculated at the PBE level.

- Space-group type: No. 19
- Total energy: -4.90 eV/atom
- Distance to the lowest polymorph of the same formula: 0.16 eV per formula unit

extended XYZ file:
```
16
Lattice="5.734 0.000 0.000 0.000 5.630 0.000 0.000 0.000 10.911" Properties=species:S:1:pos:R:3 pbc="T T T"
As 3.447 0.265 0.236
As 0.580 2.550 10.674
As 2.287 3.080 5.219
As 5.155 5.365 5.692
As 1.595 4.646 8.227
As 4.462 3.798 2.683
As 4.140 1.831 8.139
As 1.272 0.984 2.772
P 1.057 0.301 0.482
P 3.925 2.514 10.429
P 4.677 3.116 4.974
P 1.810 5.328 5.937
P 1.917 2.356 7.477
P 4.784 0.459 3.433
P 3.817 5.171 8.889
P 0.950 3.274 2.022
```